1.
This record from the Alexandria database describes a geometry-optimized OsAu3 structure. The functional is PBE-GGA.

Properties
Energy   -3.722 eV/atom
Crystal system   cubic

a b c (Å): 5.075 5.075 5.075
angles (deg): 90.00 90.00 90.00
Fractional coordinates of all 4 atoms:
Os 0.000 0.000 0.000
Au 0.000 0.000 0.500
Au 0.000 0.500 0.000
Au 0.500 0.000 0.000



2.
This record from the Alexandria database describes a geometry-optimized OsAu2 structure. The functional is PBE-GGA.

Properties
Energy   -4.998 eV/atom
Crystal system   hexagonal

a b c (Å): 4.609 4.609 5.612
angles (deg): 90.00 90.00 120.00
Fractional coordinates of all 6 atoms:
Os 0.333 0.667 0.250
Os 0.667 0.333 0.750
Au 0.000 0.000 0.000
Au 0.000 0.000 0.500
Au 0.333 0.667 0.750
Au 0.667 0.333 0.250